Record 1
Entry from the Alexandria database: an optimized crystal structure of NdZrTlPb (GGA-PBE).

Output
Calculated volume (Å³/f.u.): 108
Electronic total energy (eV per atom): -4.979
Formation enthalpy at 0 K (eV per formula unit): -0.53
Total moment (μB per cell): 1.2

Unit cell a=5.3414 b=5.3414 c=5.3414 alpha=60.00 beta=60.00 gamma=60.00
Closest atoms and distances in Å follow each position.
Fractional positions:
Pb  0.2500  0.2500  0.2500  4 Zr 3.27, 4 Nd 3.27
Tl  0.7500  0.7500  0.7500  4 Zr 3.27, 4 Nd 3.27
Nd  0.5000  0.5000  0.5000  4 Pb 3.27, 4 Tl 3.27
Zr  0.0000  0.0000  0.0000  4 Tl 3.27, 4 Pb 3.27

Record 2
Entry from the Alexandria database: an optimized crystal structure of Nd4TcBi (GGA-PBE).

Output
Calculated volume (Å³/f.u.): 189
Electronic total energy (eV per atom): -5.866
Formation enthalpy at 0 K (eV per formula unit): -1.88
Total moment (μB per cell): 0.0

Unit cell a=6.4313 b=8.3162 c=8.3163 alpha=113.88 beta=101.57 gamma=101.57
Closest atoms and distances in Å follow each position.
Fractional positions:
Nd  0.8617  0.6508  0.7932  2 Tc 3.00-3.03, 1 Bi 3.33
Nd  0.0601  0.9402  0.2768  2 Tc 2.99
Nd  0.6383  0.2068  0.3492  2 Tc 3.00-3.03, 1 Bi 3.33
Nd  0.4399  0.7231  0.0598  2 Tc 2.99
Nd  0.5601  0.2769  0.9402  2 Tc 2.99
Nd  0.3617  0.7932  0.6508  2 Tc 3.00-3.03, 1 Bi 3.33
Nd  0.9399  0.0598  0.7232  2 Tc 2.99
Nd  0.1383  0.3492  0.2068  2 Tc 3.00-3.03, 1 Bi 3.33
Tc  0.2500  0.0010  0.9990  8 Nd 2.99-3.03, 2 Tc 3.22
Tc  0.7500  0.9990  0.0010  8 Nd 2.99-3.03, 2 Tc 3.22
Bi  0.7500  0.6267  0.3734  6 Nd 3.33-3.42
Bi  0.2500  0.3733  0.6266  6 Nd 3.33-3.42

Record 3
Entry from the Alexandria database: an optimized crystal structure of K3Np2CrTe6 (GGA-PBE).

Output
Raw formation energy (eV/atom): -0.76
Calculated volume (Å³/f.u.): 418
Electronic total energy (eV per atom): -5.561
Total moment (μB per cell): 11.0

Unit cell a=7.6767 b=7.6767 c=8.5826 alpha=98.61 beta=98.61 gamma=120.05
Closest atoms and distances in Å follow each position.
Fractional positions:
K  0.1713  0.8287  0.5000  6 Te 3.50-3.61
K  0.8287  0.1713  0.5000  6 Te 3.50-3.61
K  0.5000  0.5000  0.5000  6 Te 3.49-3.65
Np  0.3339  0.6661  0.0000  6 Te 3.11
Np  0.6661  0.3339  0.0000  6 Te 3.11
Cr  0.0000  0.0000  0.0000  6 Te 2.92
Te  0.9334  0.6189  0.7996  1 Cr 2.92, 2 Np 3.11
Te  0.7535  0.7535  0.2019  1 Cr 2.92, 2 Np 3.11
Te  0.0666  0.3811  0.2004  1 Cr 2.92, 2 Np 3.11
Te  0.6189  0.9334  0.7996  1 Cr 2.92, 2 Np 3.11
Te  0.2465  0.2465  0.7981  1 Cr 2.92, 2 Np 3.11
Te  0.3811  0.0666  0.2004  1 Cr 2.92, 2 Np 3.11